[1]
Ba2AgRuF | PBEsol | optimized geometry

## Properties
Uncorrected formation energy   0.285 eV per atom
Magnetization   0.233 μB/atom
DOS(E_F)   6.795 states/eV/cell

a = 6.042 Å, b = 6.042 Å, c = 4.149 Å
α = 90.00°, β = 90.00°, γ = 90.00°
Space group P4/mmm (No. 123)
Inequivalent atoms, fractional coordinates:
Ba1 0.000 0.500 0.000 [2 per cell]
Ag1 0.000 0.000 0.000 [1 per cell]
Ru1 0.500 0.500 0.500 [1 per cell]
F1 0.000 0.000 0.500 [1 per cell]

[2]
LiZn2Cd | PBEsol | optimized geometry

## Properties
Magnetization   0.000 μB/atom
DOS(E_F)   2.086 states/eV/cell

a = 4.417 Å, b = 4.417 Å, c = 6.284 Å
α = 90.00°, β = 90.00°, γ = 90.00°
Space group I-4m2 (No. 119)
Inequivalent atoms, fractional coordinates:
Li1 0.000 0.000 0.000 [2 per cell]
Zn1 0.000 0.000 0.500 [2 per cell]
Zn2 0.000 0.500 0.250 [2 per cell]
Cd1 0.000 0.500 0.750 [2 per cell]

[3]
TiAgMoAu2 | PBEsol | optimized geometry

## Properties
Magnetization   0.122 μB/atom
DOS(E_F)   3.105 states/eV/cell

a = 4.870 Å, b = 4.870 Å, c = 4.365 Å
α = 90.00°, β = 90.00°, γ = 90.00°
Space group P4/mmm (No. 123)
Inequivalent atoms, fractional coordinates:
Ti1 0.000 0.000 0.000 [1 per cell]
Ag1 0.500 0.500 0.500 [1 per cell]
Mo1 0.000 0.000 0.500 [1 per cell]
Au1 0.000 0.500 0.000 [2 per cell]

[4]
Ti3FeNi | PBEsol | optimized geometry

## Properties
Magnetization   0.000 μB/atom
DOS(E_F)   8.239 states/eV/cell

a = 4.351 Å, b = 4.351 Å, c = 4.351 Å
α = 90.00°, β = 90.00°, γ = 90.00°
Space group Pm-3m (No. 221)
Inequivalent atoms, fractional coordinates:
Ti1 0.000 0.000 0.500 [3 per cell]
Fe1 0.000 0.000 0.000 [1 per cell]
Ni1 0.500 0.500 0.500 [1 per cell]

[5]
LiMnZn4 | PBEsol | optimized geometry

## Properties
Magnetization   0.633 μB/atom
DOS(E_F)   9.403 states/eV/cell

a = 7.008 Å, b = 7.008 Å, c = 7.008 Å
α = 90.00°, β = 90.00°, γ = 90.00°
Space group F-43m (No. 216)
Inequivalent atoms, fractional coordinates:
Li1 0.000 0.000 0.000 [4 per cell]
Mn1 0.250 0.250 0.750 [4 per cell]
Zn1 0.125 0.125 0.375 [16 per cell]

[6]
CaIn2Pb | PBEsol | optimized geometry

## Properties
Magnetization   0.000 μB/atom
DOS(E_F)   3.733 states/eV/cell

a = 4.550 Å, b = 4.550 Å, c = 10.074 Å
α = 90.00°, β = 90.00°, γ = 90.00°
Space group I4/mmm (No. 139)
Inequivalent atoms, fractional coordinates:
Ca1 0.000 0.000 0.000 [2 per cell]
In1 0.000 0.500 0.250 [4 per cell]
Pb1 0.000 0.000 0.500 [2 per cell]

Which E_tot belongs to each record? In order, -3.657; -1.723; -5.191; -7.556; -2.998; -3.357 eV/atom.